Record 1
Compound: Mg2Sn2Ru
Source: the Alexandria database
Functional: PBE
Structure: optimized geometry

a b c (Å): 7.0456 7.0456 4.3052
angles (deg): 90.00 90.00 90.00
Closest atoms and distances in Å follow each position.
Space group P4/mbm (No. 127)
Asymmetric unit:
Mg1 0.1673 0.3327 0.0000  6 Sn 2.85-3.08
Sn1 0.1453 0.6453 0.5000  2 Ru 2.70, 2 Mg 2.85, 1 Sn 2.90
Ru1 0.0000 0.0000 0.5000  4 Sn 2.70


Record 2
Compound: Mg2SnRu
Source: the Alexandria database
Functional: PBE
Structure: optimized geometry

a b c (Å): 4.1302 4.1302 4.2145
angles (deg): 90.00 90.00 90.00
Closest atoms and distances in Å follow each position.
Space group P4/mmm (No. 123)
Asymmetric unit:
Mg1 0.0000 0.5000 0.0000  4 Mg 2.92, 4 Sn 2.95, 4 Ru 2.95
Sn1 0.0000 0.0000 0.5000  4 Ru 2.92, 8 Mg 2.95
Ru1 0.5000 0.5000 0.5000  4 Sn 2.92, 8 Mg 2.95


Record 3
Compound: SrMgSn2Ru
Source: the Alexandria database
Functional: PBE
Structure: optimized geometry

a b c (Å): 5.1674 5.1674 5.0147
angles (deg): 90.00 90.00 90.00
Closest atoms and distances in Å follow each position.
Space group P4/mmm (No. 123)
Asymmetric unit:
Sr1 0.0000 0.0000 0.0000  8 Sn 3.60, 4 Mg 3.65
Mg1 0.5000 0.5000 0.0000  2 Ru 2.51
Sn1 0.0000 0.5000 0.5000  2 Ru 2.58
Ru1 0.5000 0.5000 0.5000  2 Mg 2.51, 4 Sn 2.58


Record 4
Compound: SrMg2SnRu
Source: the Alexandria database
Functional: PBE
Structure: optimized geometry

a b c (Å): 5.0727 5.0727 5.1115
angles (deg): 90.00 90.00 90.00
Closest atoms and distances in Å follow each position.
Space group P4/mmm (No. 123)
Asymmetric unit:
Sr1 0.0000 0.0000 0.0000  4 Sn 3.59, 8 Mg 3.60
Mg1 0.0000 0.5000 0.5000  2 Ru 2.54
Sn1 0.5000 0.5000 0.0000  2 Ru 2.56
Ru1 0.5000 0.5000 0.5000  4 Mg 2.54, 2 Sn 2.56


| no. | calculated density (g/cm³) | energy of formation (eV per atom) |
| --- | --- | --- |
| 1 | 6.02 | 0.023 |
| 2 | 6.20 | -0.064 |
| 3 | 5.59 | -0.228 |
| 4 | 4.49 | -0.201 |